1.
A relaxed RbNpIn2I6 crystal, computed with PBE-GGA.

The value obtained for the total energy is -0.1359 Ha/atom. For the energy relative to the elements, uncorrected, the calculation gives -828 meV per atom. The calculation puts the theoretical density at 4.32 g/cm3.

Structure (POSCAR):
```
RbNpIn2I6
1.0
4.338 2.504 7.738
-4.338 2.504 7.738
0.000 -5.009 7.738
Rb Np In I
1 1 2 6
Direct
0.000 0.000 0.000
0.488 0.488 0.488
0.296 0.296 0.296
0.807 0.807 0.807
0.111 0.670 0.424
0.249 0.588 0.847
0.424 0.111 0.670
0.588 0.847 0.249
0.670 0.424 0.111
0.847 0.249 0.588
```

***

2.
A relaxed CrCo2Mo crystal, computed with PBE-GGA.

The calculation puts the energy relative to the elements at 0.21 eV per atom. The value obtained for the total energy is -0.3108 Ha/atom. For the energy relative to the lowest polymorph listed for this composition, the calculation gives 172 meV per atom. The calculation puts the theoretical density at 8.66 g/cm3.

Structure (POSCAR):
```
CrCo2Mo
1.0
4.179 0.000 0.000
0.000 4.179 0.000
0.000 0.000 2.919
Cr Co Mo
1 2 1
Direct
0.000 0.000 0.000
0.000 0.500 0.500
0.500 0.000 0.500
0.500 0.500 0.000
```

***

3.
A relaxed HfTaV2 crystal, computed with PBE-GGA.

The calculation puts the energy relative to the elements at 0.09 eV per atom. The value obtained for the total energy is -0.3646 Ha/atom. For the energy relative to the lowest polymorph listed for this composition, the calculation gives 0 meV per atom. The calculation puts the theoretical density at 11.30 g/cm3.

Structure (POSCAR):
```
HfTaV2
1.0
3.232 0.000 0.000
0.000 3.232 0.000
0.000 0.000 6.490
Hf Ta V
1 1 2
Direct
0.000 0.000 0.000
0.000 0.000 0.500
0.500 0.500 0.277
0.500 0.500 0.723
```

***

4.
A relaxed TcMo2As crystal, computed with PBE-GGA.

The calculation puts the energy relative to the elements at 0.23 eV per atom. The value obtained for the total energy is -0.3286 Ha/atom. The calculation puts the theoretical density at 9.88 g/cm3.

Structure (POSCAR):
```
TcMo2As
1.0
3.691 0.000 0.000
0.000 3.691 0.000
0.000 0.000 4.501
Tc Mo As
1 2 1
Direct
0.000 0.000 0.000
0.000 0.500 0.500
0.500 0.000 0.500
0.500 0.500 0.000
```

***

5.
A relaxed MoAs2Se crystal, computed with PBE-GGA.

The value obtained for the total energy is -0.2173 Ha/atom. For the energy relative to the elements, uncorrected, the calculation gives -9 meV per atom. The calculation puts the theoretical density at 7.08 g/cm3.

Structure (POSCAR):
```
MoAs2Se
1.0
3.226 0.000 0.000
0.000 3.226 0.000
0.000 0.000 7.319
Mo As Se
1 2 1
Direct
0.000 0.000 0.000
0.000 0.000 0.605
0.500 0.500 0.800
0.500 0.500 0.203
```

***

6.
A relaxed Rb3InBr crystal, computed with PBE-GGA.

The value obtained for the total energy is -0.0730 Ha/atom. For the energy relative to the lowest polymorph listed for this composition, the calculation gives 0 meV per atom. For the energy relative to the elements, uncorrected, the calculation gives -524 meV per atom. The calculation puts the theoretical density at 2.59 g/cm3.

Structure (POSCAR):
```
Rb3InBr
1.0
6.612 0.000 0.000
0.000 6.612 0.000
0.000 0.000 6.612
Rb In Br
3 1 1
Direct
0.000 0.000 0.500
0.000 0.500 0.000
0.500 0.000 0.000
0.500 0.500 0.500
0.000 0.000 0.000
```

***

7.
A relaxed Ac3SmB2N6 crystal, computed with PBE-GGA.

The value obtained for the total energy is -0.2881 Ha/atom. For the energy relative to the elements, uncorrected, the calculation gives -1143 meV per atom. The calculation puts the theoretical density at 7.98 g/cm3.

Structure (POSCAR):
```
Ac3SmB2N6
1.0
5.801 0.000 0.000
-2.900 5.023 0.000
0.000 0.000 6.694
Ac Sm B N
3 1 2 6
Direct
0.000 0.000 0.000
0.333 0.667 0.674
0.667 0.333 0.326
0.000 0.000 0.500
0.333 0.667 0.257
0.667 0.333 0.743
0.187 0.374 0.277
0.187 0.813 0.277
0.374 0.187 0.723
0.626 0.813 0.277
0.813 0.187 0.723
0.813 0.626 0.723
```

***

8.
A relaxed SmVAs3 crystal, computed with PBE-GGA.

The calculation puts the energy relative to the elements at -0.79 eV per atom. The value obtained for the total energy is -0.2333 Ha/atom. The calculation puts the theoretical density at 7.12 g/cm3.

Structure (POSCAR):
```
SmVAs3
1.0
12.400 0.000 0.000
0.000 5.748 0.000
0.000 0.000 5.576
Sm V As
4 4 12
Direct
0.187 0.003 0.250
0.187 0.497 0.750
0.813 0.503 0.250
0.813 0.997 0.750
0.415 0.750 0.000
0.415 0.750 0.500
0.585 0.250 0.000
0.585 0.250 0.500
0.001 0.750 0.000
0.001 0.750 0.500
0.286 0.503 0.250
0.286 0.997 0.750
0.427 0.112 0.250
0.427 0.388 0.750
0.573 0.612 0.250
0.573 0.888 0.750
0.714 0.003 0.250
0.714 0.497 0.750
0.999 0.250 0.000
0.999 0.250 0.500
```

***

9.
A relaxed Pu2Pa2Rh5 crystal, computed with PBE-GGA.

The calculation puts the energy relative to the elements at -0.43 eV per atom. The value obtained for the total energy is -0.3606 Ha/atom. The calculation puts the theoretical density at 14.33 g/cm3.

Structure (POSCAR):
```
Pu2Pa2Rh5
1.0
-2.865 7.944 3.730
2.865 -7.944 3.730
2.865 7.944 -3.730
Pu Pa Rh
4 4 10
Direct
0.138 0.076 0.062
0.487 0.924 0.562
0.513 0.076 0.438
0.862 0.924 0.938
0.000 0.500 0.500
0.181 0.431 0.750
0.500 0.500 0.000
0.819 0.569 0.250
0.136 0.000 0.636
0.136 0.500 0.136
0.197 0.947 0.250
0.418 0.000 0.918
0.418 0.500 0.418
0.582 0.000 0.082
0.582 0.500 0.582
0.803 0.053 0.750
0.864 0.000 0.364
0.864 0.500 0.864
```

***

10.
A relaxed Dy3Tm6Pb crystal, computed with PBE-GGA.

The calculation puts the energy relative to the elements at 0.00 eV per atom. The value obtained for the total energy is -0.1630 Ha/atom. The calculation puts the theoretical density at 9.26 g/cm3.

Structure (POSCAR):
```
Dy3Tm6Pb
1.0
5.397 -9.318 0.000
5.397 9.318 0.000
0.000 0.000 6.092
Dy Tm Pb
6 12 2
Direct
0.109 0.891 0.500
0.229 0.447 0.872
0.447 0.229 0.372
0.553 0.771 0.872
0.771 0.553 0.372
0.891 0.109 0.000
0.042 0.456 0.295
0.113 0.207 0.471
0.207 0.113 0.971
0.223 0.777 0.079
0.439 0.561 0.358
0.456 0.042 0.795
0.544 0.958 0.295
0.561 0.439 0.858
0.777 0.223 0.579
0.793 0.887 0.471
0.887 0.793 0.971
0.958 0.544 0.795
0.280 0.720 0.580
0.720 0.280 0.080
```

***

11.
A relaxed RbZn2Sn2 crystal, computed with PBE-GGA.

The calculation puts the energy relative to the elements at 0.06 eV per atom. The value obtained for the total energy is -0.0827 Ha/atom. For the energy relative to the lowest polymorph listed for this composition, the calculation gives 149 meV per atom. The calculation puts the theoretical density at 5.72 g/cm3.

Structure (POSCAR):
```
RbZn2Sn2
1.0
8.844 0.000 0.000
0.000 8.844 0.000
0.000 0.000 3.369
Rb Zn Sn
2 4 4
Direct
0.000 0.000 0.000
0.500 0.500 0.000
0.134 0.366 0.000
0.366 0.866 0.000
0.634 0.134 0.000
0.866 0.634 0.000
0.143 0.643 0.500
0.357 0.143 0.500
0.643 0.857 0.500
0.857 0.357 0.500
```

***

12.
A relaxed NbAgBSe2 crystal, computed with PBE-GGA.

The value obtained for the total energy is -0.1699 Ha/atom. For the energy relative to the elements, uncorrected, the calculation gives 692 meV per atom. The calculation puts the theoretical density at 6.70 g/cm3.

Structure (POSCAR):
```
NbAgBSe2
1.0
4.606 0.000 0.000
0.000 4.606 0.000
0.000 0.000 4.314
Nb Ag B Se
1 1 1 2
Direct
0.000 0.000 0.000
0.500 0.500 0.000
0.000 0.000 0.500
0.000 0.500 0.500
0.500 0.000 0.500
```

***

Which formula does entry 1 have? RbNpIn2I6

***

Number 4 is which compound? TcMo2As

***

What is the formula in the tenth record? Dy3Tm6Pb

***

Which of these has the highest theoretical density? Pu2Pa2Rh5